Record 1
Ho4Er4Pb | PBE | optimized geometry

Cell: 10.6218 10.6218 4.8055 Å, 90.00 90.00 90.00°
Space group I4/mmm (No. 139)
Unique sites:
Ho1 0.1629 0.1629 0.0000 x8
Er1 0.0000 0.3376 0.5000 x8
Pb1 0.0000 0.0000 0.5000 x2

Values from the calculation:
* formation energy from the elements: -0.0875 eV/atom

=====

Record 2
HoEr8Pb6 | PBE | optimized geometry

Cell: 9.0552 9.0552 19.6856 Å, 90.00 90.00 120.00°
Space group R-3 (No. 148, hexagonal axes)
Unique sites:
Ho1 0.0000 0.0000 0.0000 x3
Er1 0.0000 0.0000 0.3333 x6
Er2 0.0001 0.3331 0.1052 x18
Pb1 0.0005 0.3333 0.2645 x18

Values from the calculation:
* formation energy from the elements: -0.3098 eV/atom

=====

Record 3
Ho8ErPb2 | PBE | optimized geometry

Cell: 8.7684 15.1648 5.7059 Å, 90.00 116.10 90.00°
Space group C2/m (No. 12)
Unique sites:
Ho1 0.0000 0.2168 0.0000 x4
Ho2 0.0930 0.5000 0.7978 x4
Ho3 0.2084 0.1122 0.6215 x8
Er1 0.0000 0.0000 0.0000 x2
Pb1 0.0000 0.3055 0.5000 x4

Values from the calculation:
* formation energy from the elements: -0.0594 eV/atom

=====

Record 4
Ho5Er12Pb2 | PBE | optimized geometry

Cell: 15.1379 9.4127 8.2166 Å, 90.00 91.78 90.00°
Space group C2/m (No. 12)
Unique sites:
Ho1 0.0000 0.0000 0.0000 x2
Ho2 0.1845 0.5000 0.5002 x4
Ho3 0.2360 0.0000 0.0821 x4
Er1 0.0512 0.5000 0.8179 x4
Er2 0.0844 0.0000 0.3808 x4
Er3 0.1241 0.3017 0.1488 x8
Er4 0.1515 0.1836 0.7335 x8
Pb1 0.0000 0.3042 0.5000 x4

Values from the calculation:
* formation energy from the elements: -0.0292 eV/atom

=====

Record 5
Ho6Er8Pb | PBE | optimized geometry

Cell: 9.1199 9.1199 6.6765 Å, 90.00 90.00 120.00°
Space group P-3 (No. 147)
Unique sites:
Ho1 0.0801 0.6828 0.1011 x6
Er1 0.0201 0.3358 0.3938 x6
Er2 0.3333 0.6667 0.6938 x2
Pb1 0.0000 0.0000 0.0000 x1

Values from the calculation:
* formation energy from the elements: 0.1888 eV/atom

=====

Record 6
HoEr2Pb3 | PBE | optimized geometry

Cell: 16.8882 6.3616 6.3795 Å, 90.00 100.71 90.00°
Space group C2/c (No. 15)
Unique sites:
Ho1 0.0000 0.1188 0.2500 x4
Er1 0.1667 0.3818 0.5941 x8
Pb1 0.0000 0.3844 0.7500 x4
Pb2 0.1662 0.1109 0.0780 x8

Values from the calculation:
* energy above the most stable polymorph in this dataset: 37 meV/atom
* formation energy from the elements: -0.4377 eV/atom

=====

Record 7
Ho2Er5Pb4 | PBE | optimized geometry

Cell: 22.5230 3.5510 8.3215 Å, 90.00 97.78 90.00°
Space group C2/m (No. 12)
Unique sites:
Ho1 0.0765 0.0000 0.1580 x4
Er1 0.0000 0.0000 0.5000 x2
Er2 0.1446 0.5000 0.5117 x4
Er3 0.1835 0.5000 0.9557 x4
Pb1 0.0504 0.5000 0.8137 x4
Pb2 0.2211 0.0000 0.2829 x4

Values from the calculation:
* formation energy from the elements: -0.2464 eV/atom

=====

Record 8
Ho3ErPb5 | PBE | optimized geometry

Cell: 9.5022 9.5022 6.5227 Å, 90.00 90.00 120.00°
Space group P6_3/mcm (No. 193)
Unique sites:
Ho1 0.0000 0.3814 0.2500 x6
Er1 0.0000 0.0000 0.0000 x2
Pb1 0.0000 0.2873 0.7500 x6
Pb2 0.3333 0.6667 0.0000 x4

Values from the calculation:
* formation energy from the elements: -0.3879 eV/atom

=====

Record 9
HoEr2Pb3 | PBE | optimized geometry

Cell: 16.8259 6.3653 6.3665 Å, 90.00 100.86 90.00°
Space group C2/c (No. 15)
Unique sites:
Ho1 0.0000 0.1255 0.2500 x4
Er1 0.1666 0.3753 0.0828 x8
Pb1 0.0000 0.3751 0.7500 x4
Pb2 0.1670 0.1243 0.5839 x8

Values from the calculation:
* energy above the most stable polymorph in this dataset: 0 meV/atom
* formation energy from the elements: -0.4743 eV/atom

=====

Record 10
HoErPdPb | PBE | optimized geometry

Cell: 7.3249 7.3249 7.3249 Å, 90.00 90.00 90.00°
Space group F-43m (No. 216)
Unique sites:
Ho1 0.0000 0.0000 0.0000 x4
Er1 0.0000 0.0000 0.5000 x4
Pd1 0.2500 0.2500 0.2500 x4
Pb1 0.2500 0.2500 0.7500 x4

Values from the calculation:
* formation energy from the elements: -0.6175 eV/atom

=====

Record 11
Pm2Ho6Er3Pb | PBE | optimized geometry

Cell: 6.0705 10.5178 11.7016 Å, 90.00 99.97 90.00°
Space group C2/m (No. 12)
Unique sites:
Pm1 0.0000 0.1662 0.0000 x4
Ho1 0.2437 0.5000 0.7475 x4
Ho2 0.2475 0.3361 0.2514 x8
Er1 0.0000 0.0000 0.5000 x2
Er2 0.0000 0.3328 0.5000 x4
Pb1 0.0000 0.5000 0.0000 x2

Values from the calculation:
* formation energy from the elements: -0.0626 eV/atom